1.
VASP calculation (PBE-GGA) on a geometry-optimized Li2CaHoTl4 structure.

Cell: 9.0143 9.0143 9.0143 Å, 33.57 33.57 33.57°
Positions (direct):
Li (0.2500, 0.2500, 0.2500)
Li (0.7500, 0.7500, 0.7500)
Ca (0.0000, 0.0000, 0.0000)
Ho (0.5000, 0.5000, 0.5000)
Tl (0.1263, 0.1263, 0.1263)
Tl (0.3756, 0.3756, 0.3756)
Tl (0.6244, 0.6244, 0.6244)
Tl (0.8737, 0.8737, 0.8737)

Summary:
Energy of formation   -30.3 kJ per mole of atoms

2.
VASP calculation (PBE-GGA) on a geometry-optimized LiCaHoZn structure.

Cell: 5.1820 5.1820 5.1820 Å, 60.00 60.00 60.00°
Positions (direct):
Li (0.0000, 0.0000, 0.0000)
Ca (0.7500, 0.7500, 0.7500)
Ho (0.2500, 0.2500, 0.2500)
Zn (0.5000, 0.5000, 0.5000)

Summary:
Energy of formation   -8.0 kJ per mole of atoms

3.
VASP calculation (PBE-GGA) on a geometry-optimized CaHoLu2 structure.

Cell: 12.4599 12.4599 12.4599 Å, 16.13 16.13 16.13°
Positions (direct):
Ca (0.0000, 0.0000, 0.0000)
Ho (0.5000, 0.5000, 0.5000)
Lu (0.0912, 0.0912, 0.0912)
Lu (0.9088, 0.9088, 0.9088)

Summary:
Energy above the lowest structure with this stoichiometry   0.092 eV per atom
Energy of formation   17.6 kJ per mole of atoms

4.
VASP calculation (PBE-GGA) on a geometry-optimized CaHo4Lu structure.

Cell: 6.5812 6.5812 6.5812 Å, 60.00 60.00 60.00°
Positions (direct):
Ca (0.0000, 0.0000, 0.0000)
Ho (0.1297, 0.6234, 0.6234)
Ho (0.6234, 0.1297, 0.6234)
Ho (0.6234, 0.6234, 0.1297)
Ho (0.6234, 0.6234, 0.6234)
Lu (0.2500, 0.2500, 0.2500)

Summary:
Energy of formation   21.7 kJ per mole of atoms

5.
VASP calculation (PBE-GGA) on a geometry-optimized CaHoLu2 structure.

Cell: 5.0289 5.0289 5.0521 Å, 90.00 90.00 90.00°
Positions (direct):
Ca (0.0000, 0.0000, 0.0000)
Ho (0.5000, 0.5000, 0.0000)
Lu (0.0000, 0.5000, 0.5000)
Lu (0.5000, 0.0000, 0.5000)

Summary:
Energy above the lowest structure with this stoichiometry   0.076 eV per atom
Energy of formation   16.0 kJ per mole of atoms

6.
VASP calculation (PBE-GGA) on a geometry-optimized CaHoLu2 structure.

Cell: 3.5665 3.5665 10.2414 Å, 90.00 90.00 90.00°
Positions (direct):
Ca (0.0000, 0.0000, 0.0000)
Ho (0.0000, 0.0000, 0.5000)
Lu (0.5000, 0.5000, 0.2720)
Lu (0.5000, 0.5000, 0.7280)

Summary:
Energy above the lowest structure with this stoichiometry   0.000 eV per atom
Energy of formation   8.7 kJ per mole of atoms

7.
VASP calculation (PBE-GGA) on a geometry-optimized Ca2HoLu structure.

Cell: 13.0664 13.0664 13.0664 Å, 15.62 15.62 15.62°
Positions (direct):
Ca (0.0871, 0.0871, 0.0871)
Ca (0.9129, 0.9129, 0.9129)
Ho (0.5000, 0.5000, 0.5000)
Lu (0.0000, 0.0000, 0.0000)

Summary:
Energy of formation   27.4 kJ per mole of atoms

8.
VASP calculation (PBE-GGA) on a geometry-optimized CaHoLu2 structure.

Cell: 5.6689 5.6689 5.6689 Å, 60.00 60.00 60.00°
Positions (direct):
Ca (0.0000, 0.0000, 0.0000)
Ho (0.5000, 0.5000, 0.5000)
Lu (0.2500, 0.2500, 0.2500)
Lu (0.7500, 0.7500, 0.7500)

Summary:
Energy above the lowest structure with this stoichiometry   0.110 eV per atom
Energy of formation   19.3 kJ per mole of atoms

9.
VASP calculation (PBE-GGA) on a geometry-optimized CaHoLuMg structure.

Cell: 5.5529 5.5529 5.5529 Å, 60.00 60.00 60.00°
Positions (direct):
Ca (0.0000, 0.0000, 0.0000)
Ho (0.5000, 0.5000, 0.5000)
Lu (0.7500, 0.7500, 0.7500)
Mg (0.2500, 0.2500, 0.2500)

Summary:
Energy of formation   8.7 kJ per mole of atoms

10.
VASP calculation (PBE-GGA) on a geometry-optimized CaNdHoLu structure.

Cell: 5.7446 5.7446 5.7446 Å, 60.00 60.00 60.00°
Positions (direct):
Ca (0.0000, 0.0000, 0.0000)
Nd (0.7500, 0.7500, 0.7500)
Ho (0.2500, 0.2500, 0.2500)
Lu (0.5000, 0.5000, 0.5000)

Summary:
Energy of formation   13.1 kJ per mole of atoms

11.
VASP calculation (PBE-GGA) on a geometry-optimized CaSmHoLu structure.

Cell: 5.7241 5.7241 5.7241 Å, 60.00 60.00 60.00°
Positions (direct):
Ca (0.0000, 0.0000, 0.0000)
Sm (0.7500, 0.7500, 0.7500)
Ho (0.2500, 0.2500, 0.2500)
Lu (0.5000, 0.5000, 0.5000)

Summary:
Energy of formation   14.2 kJ per mole of atoms

12.
VASP calculation (PBE-GGA) on a geometry-optimized CaTbHoLu structure.

Cell: 5.6987 5.6987 5.6987 Å, 60.00 60.00 60.00°
Positions (direct):
Ca (0.0000, 0.0000, 0.0000)
Tb (0.2500, 0.2500, 0.2500)
Ho (0.7500, 0.7500, 0.7500)
Lu (0.5000, 0.5000, 0.5000)

Summary:
Energy of formation   15.8 kJ per mole of atoms

13.
VASP calculation (PBE-GGA) on a geometry-optimized CaHoLuTl structure.

Cell: 5.5154 5.5154 5.5154 Å, 60.00 60.00 60.00°
Positions (direct):
Ca (0.0000, 0.0000, 0.0000)
Ho (0.5000, 0.5000, 0.5000)
Lu (0.7500, 0.7500, 0.7500)
Tl (0.2500, 0.2500, 0.2500)

Summary:
Energy of formation   -0.3 kJ per mole of atoms

14.
VASP calculation (PBE-GGA) on a geometry-optimized Ca5HoMg6 structure.

Cell: 9.6277 9.6277 5.5969 Å, 106.43 106.43 47.56°
Positions (direct):
Ca (0.0000, 0.0000, 0.0000)
Ca (0.1649, 0.1649, 0.6655)
Ca (0.3322, 0.3322, 0.3313)
Ca (0.6678, 0.6678, 0.6687)
Ca (0.8351, 0.8351, 0.3345)
Ho (0.5000, 0.5000, 0.0000)
Mg (0.0942, 0.5789, 0.8357)
Mg (0.2646, 0.7354, 0.5000)
Mg (0.4211, 0.9058, 0.1643)
Mg (0.5789, 0.0942, 0.8357)
Mg (0.7354, 0.2646, 0.5000)
Mg (0.9058, 0.4211, 0.1643)

Summary:
Energy of formation   -7.2 kJ per mole of atoms

15.
VASP calculation (PBE-GGA) on a geometry-optimized Ca2HoMg5 structure.

Cell: 8.5331 8.5331 8.5331 Å, 143.18 143.18 53.06°
Positions (direct):
Ca (0.2472, 0.2472, 0.0000)
Ca (0.7528, 0.7528, 0.0000)
Ho (0.5000, 0.5000, 0.0000)
Mg (0.0000, 0.0000, 0.0000)
Mg (0.1146, 0.6146, 0.5000)
Mg (0.3854, 0.8854, 0.5000)
Mg (0.6146, 0.1146, 0.5000)
Mg (0.8854, 0.3854, 0.5000)

Summary:
Energy of formation   -5.8 kJ per mole of atoms

16.
VASP calculation (PBE-GGA) on a geometry-optimized CaHoMg4 structure.

Cell: 6.1059 6.1059 6.1059 Å, 60.00 60.00 60.00°
Positions (direct):
Ca (0.0000, 0.0000, 0.0000)
Ho (0.2500, 0.2500, 0.2500)
Mg (0.1273, 0.6242, 0.6242)
Mg (0.6242, 0.1273, 0.6242)
Mg (0.6242, 0.6242, 0.1273)
Mg (0.6242, 0.6242, 0.6242)

Summary:
Energy of formation   -6.8 kJ per mole of atoms

17.
VASP calculation (PBE-GGA) on a geometry-optimized Ca2HoMg9 structure.

Cell: 10.4745 10.4745 10.4745 Å, 33.91 33.91 33.91°
Positions (direct):
Ca (0.1416, 0.1416, 0.1416)
Ca (0.8584, 0.8584, 0.8584)
Ho (0.0000, 0.0000, 0.0000)
Mg (0.0797, 0.5833, 0.5833)
Mg (0.3336, 0.3336, 0.3336)
Mg (0.4167, 0.4167, 0.9203)
Mg (0.4167, 0.9203, 0.4167)
Mg (0.5000, 0.5000, 0.5000)
Mg (0.5833, 0.0797, 0.5833)
Mg (0.5833, 0.5833, 0.0797)
Mg (0.6664, 0.6664, 0.6664)
Mg (0.9203, 0.4167, 0.4167)

Summary:
Energy of formation   -3.8 kJ per mole of atoms

18.
VASP calculation (PBE-GGA) on a geometry-optimized Ca4HoMg5 structure.

Cell: 3.9049 3.9049 19.8319 Å, 90.00 90.00 90.00°
Positions (direct):
Ca (0.0000, 0.0000, 0.1022)
Ca (0.0000, 0.0000, 0.3066)
Ca (0.0000, 0.0000, 0.6934)
Ca (0.0000, 0.0000, 0.8978)
Ho (0.0000, 0.0000, 0.5000)
Mg (0.5000, 0.5000, 0.0000)
Mg (0.5000, 0.5000, 0.2038)
Mg (0.5000, 0.5000, 0.4089)
Mg (0.5000, 0.5000, 0.5911)
Mg (0.5000, 0.5000, 0.7962)

Summary:
Energy of formation   -7.2 kJ per mole of atoms

19.
VASP calculation (PBE-GGA) on a geometry-optimized CaHoMg structure.

Cell: 5.3450 5.3450 7.6893 Å, 90.00 90.00 90.00°
Positions (direct):
Ca (0.2500, 0.7500, 0.0000)
Ca (0.7500, 0.2500, 0.0000)
Ho (0.2500, 0.7500, 0.5000)
Ho (0.7500, 0.2500, 0.5000)
Mg (0.2500, 0.2500, 0.2649)
Mg (0.7500, 0.7500, 0.7351)

Summary:
Energy above the lowest structure with this stoichiometry   0.368 eV per atom
Energy of formation   32.2 kJ per mole of atoms

20.
VASP calculation (PBE-GGA) on a geometry-optimized Ca5Ho3Mg12 structure.

Cell: 16.1298 16.1298 16.1298 Å, 109.47 109.47 109.47°
Positions (direct):
Ca (0.0000, 0.0000, 0.0000)
Ca (0.0000, 0.0000, 0.5000)
Ca (0.0000, 0.5000, 0.0000)
Ca (0.0000, 0.5000, 0.5000)
Ca (0.1250, 0.7500, 0.8750)
Ca (0.1250, 0.8750, 0.2500)
Ca (0.2500, 0.1250, 0.8750)
Ca (0.2500, 0.6250, 0.3750)
Ca (0.3750, 0.2500, 0.6250)
Ca (0.3750, 0.6250, 0.7500)
Ca (0.5000, 0.0000, 0.0000)
Ca (0.5000, 0.0000, 0.5000)
Ca (0.5000, 0.5000, 0.0000)
Ca (0.5000, 0.5000, 0.5000)
Ca (0.6250, 0.3750, 0.2500)
Ca (0.6250, 0.7500, 0.3750)
Ca (0.7500, 0.3750, 0.6250)
Ca (0.7500, 0.8750, 0.1250)
Ca (0.8750, 0.1250, 0.7500)
Ca (0.8750, 0.2500, 0.1250)
Ho (0.1250, 0.2500, 0.3750)
Ho (0.1250, 0.3750, 0.7500)
Ho (0.2500, 0.3750, 0.1250)
Ho (0.2500, 0.8750, 0.6250)
Ho (0.3750, 0.1250, 0.2500)
Ho (0.3750, 0.7500, 0.1250)
Ho (0.6250, 0.2500, 0.8750)
Ho (0.6250, 0.8750, 0.7500)
Ho (0.7500, 0.1250, 0.3750)
Ho (0.7500, 0.6250, 0.8750)
Ho (0.8750, 0.6250, 0.2500)
Ho (0.8750, 0.7500, 0.6250)
Mg (0.0701, 0.6580, 0.4277)
Mg (0.0701, 0.9121, 0.6424)
Mg (0.0723, 0.7303, 0.6424)
Mg (0.0723, 0.8420, 0.4299)
Mg (0.0879, 0.2303, 0.1580)
Mg (0.0879, 0.3576, 0.9299)
Mg (0.1424, 0.2303, 0.5723)
Mg (0.1424, 0.4121, 0.5701)
Mg (0.1580, 0.0879, 0.2303)
Mg (0.1580, 0.5701, 0.9277)
Mg (0.2303, 0.1580, 0.0879)
Mg (0.2303, 0.5723, 0.1424)
Mg (0.2697, 0.3576, 0.9277)
Mg (0.2697, 0.4121, 0.3420)
Mg (0.3420, 0.2697, 0.4121)
Mg (0.3420, 0.5723, 0.9299)
Mg (0.3576, 0.9277, 0.2697)
Mg (0.3576, 0.9299, 0.0879)
Mg (0.4121, 0.3420, 0.2697)
Mg (0.4121, 0.5701, 0.1424)
Mg (0.4277, 0.0701, 0.6580)
Mg (0.4277, 0.8576, 0.7697)
Mg (0.4299, 0.0723, 0.8420)
Mg (0.4299, 0.8576, 0.5879)
Mg (0.5701, 0.1424, 0.4121)
Mg (0.5701, 0.9277, 0.1580)
Mg (0.5723, 0.1424, 0.2303)
Mg (0.5723, 0.9299, 0.3420)
Mg (0.5879, 0.4299, 0.8576)
Mg (0.5879, 0.6580, 0.7303)
Mg (0.6424, 0.0701, 0.9121)
Mg (0.6424, 0.0723, 0.7303)
Mg (0.6580, 0.4277, 0.0701)
Mg (0.6580, 0.7303, 0.5879)
Mg (0.7303, 0.5879, 0.6580)
Mg (0.7303, 0.6424, 0.0723)
Mg (0.7697, 0.4277, 0.8576)
Mg (0.7697, 0.8420, 0.9121)
Mg (0.8420, 0.4299, 0.0723)
Mg (0.8420, 0.9121, 0.7697)
Mg (0.8576, 0.5879, 0.4299)
Mg (0.8576, 0.7697, 0.4277)
Mg (0.9121, 0.6424, 0.0701)
Mg (0.9121, 0.7697, 0.8420)
Mg (0.9277, 0.1580, 0.5701)
Mg (0.9277, 0.2697, 0.3576)
Mg (0.9299, 0.0879, 0.3576)
Mg (0.9299, 0.3420, 0.5723)

Summary:
Energy of formation   49.1 kJ per mole of atoms